*i*
Material: Ho6InAg
Method: DFT, PBE
State: relaxed

Values from the calculation:
D(E_F)	1.007	states/eV per atom
magnetic moment	0.00	μB per formula unit
V	28.282	A^3/atom
mass density	8.90	Mg/m³

Cell lengths 5.023, 5.023, 17.938 Å; angles 90.00, 90.00, 90.00 degrees
Space group I4/mmm (No. 139)
Symmetry-distinct sites (fractional):
Ho (0.000, 0.000, 0.250) x4
Ho (0.000, 0.500, 0.112) x8
In (0.000, 0.000, 0.000) x2
Ag (0.000, 0.000, 0.500) x2

---

*ii*
Material: Ho6InAg
Method: DFT, PBE
State: relaxed

Values from the calculation:
D(E_F)	0.925	states/eV per atom
magnetic moment	0.00	μB per formula unit
V	27.794	A^3/atom
mass density	9.05	Mg/m³

Cell lengths 6.060, 6.065, 6.073 Å; angles 92.83, 92.87, 92.98 degrees
Space group P-1 (No. 2)
Symmetry-distinct sites (fractional):
Ho (0.022, 0.253, 0.046) x2
Ho (0.247, 0.955, 0.477) x2
Ho (0.455, 0.478, 0.747) x2
In (0.500, 0.000, 0.000) x1
Ag (0.000, 0.500, 0.500) x1

---

Need the numbers? Relative energies in meV per atom: *i* 0; *ii* 76.

---

*i*
Material: Ho2InAg
Method: DFT, PBE
State: relaxed

Values from the calculation:
D(E_F)	0.757	states/eV per atom
magnetic moment	0.00	μB per formula unit
V	25.264	A^3/atom
mass density	9.08	Mg/m³

Cell lengths 7.394, 7.394, 7.394 Å; angles 90.00, 90.00, 90.00 degrees
Space group Fm-3m (No. 225)
Symmetry-distinct sites (fractional):
Ho (0.250, 0.250, 0.250) x8
In (0.000, 0.000, 0.000) x4
Ag (0.000, 0.000, 0.500) x4

---

*ii*
Material: Ho2InAg
Method: DFT, PBE
State: relaxed

Values from the calculation:
D(E_F)	1.266	states/eV per atom
magnetic moment	0.00	μB per formula unit
V	27.071	A^3/atom
mass density	8.47	Mg/m³

Cell lengths 3.6729, 3.6729, 27.8053 Å; angles 90.00, 90.00, 120.00 degrees
Space group R-3m (No. 166, hexagonal axes)
Symmetry-distinct sites (fractional):
Ho (0.0000, 0.0000, 0.2463) x6
In (0.0000, 0.0000, 0.0000) x3
Ag (0.0000, 0.0000, 0.5000) x3

---

Need the numbers? Relative energies in meV per atom: *i* 0; *ii* 219.

---

*i*
Material: Ho2InAg3
Method: DFT, PBE
State: relaxed

Values from the calculation:
D(E_F)	0.494	states/eV per atom
magnetic moment	0.00	μB per formula unit
V	24.233	A^3/atom
mass density	8.77	Mg/m³

Cell lengths 3.740, 4.247, 18.311 Å; angles 90.00, 90.00, 90.00 degrees
Space group Imm2 (No. 44)
Symmetry-distinct sites (fractional):
Ho (0.000, 0.000, 0.000) x2
Ho (0.000, 0.500, 0.260) x2
In (0.000, 0.000, 0.591) x2
Ag (0.000, 0.000, 0.437) x2
Ag (0.000, 0.500, 0.682) x2
Ag (0.000, 0.500, 0.831) x2

---

*ii*
Material: Ho2InAg3
Method: DFT, PBE
State: relaxed

Values from the calculation:
D(E_F)	0.704	states/eV per atom
magnetic moment	0.00	μB per formula unit
V	22.555	A^3/atom
mass density	9.43	Mg/m³

Cell lengths 6.630, 9.658, 16.907 Å; angles 90.00, 90.00, 90.00 degrees
Space group Fmmm (No. 69)
Symmetry-distinct sites (fractional):
Ho (0.245, 0.000, 0.000) x8
Ho (0.250, 0.250, 0.250) x8
In (0.000, 0.000, 0.334) x8
Ag (0.000, 0.000, 0.167) x8
Ag (0.000, 0.250, 0.083) x16

---

Need the numbers? Relative energies in meV per atom: *i* 111; *ii* 0.

---

*i*
Material: Ho2In3Ag4
Method: DFT, PBE
State: relaxed

Values from the calculation:
D(E_F)	0.279	states/eV per atom
magnetic moment	0.00	μB per formula unit
V	21.880	A^3/atom
mass density	9.32	Mg/m³

Cell lengths 4.9537, 4.9537, 9.2668 Å; angles 90.00, 90.00, 120.00 degrees
Space group P-3m1 (No. 164)
Symmetry-distinct sites (fractional):
Ho (0.3333, 0.6667, 0.2834) x2
In (0.0000, 0.0000, 0.5000) x1
In (0.3333, 0.6667, 0.9245) x2
Ag (0.0000, 0.0000, 0.1634) x2
Ag (0.3333, 0.6667, 0.6035) x2

---

*ii*
Material: Ho2In3Ag4
Method: DFT, PBE
State: relaxed

Values from the calculation:
D(E_F)	0.589	states/eV per atom
magnetic moment	0.00	μB per formula unit
V	22.637	A^3/atom
mass density	9.01	Mg/m³

Cell lengths 5.988, 17.092, 7.962 Å; angles 90.00, 90.00, 90.00 degrees
Space group Cmce (No. 64)
Symmetry-distinct sites (fractional):
Ho (0.000, 0.096, 0.107) x8
In (0.000, 0.000, 0.500) x4
In (0.250, 0.241, 0.750) x8
Ag (0.000, 0.164, 0.483) x8
Ag (0.250, 0.071, 0.750) x8

---

Need the numbers? Relative energies in meV per atom: *i* 0; *ii* 58.

---

*i*
Material: Ho4In3Ag
Method: DFT, PBE
State: relaxed

Values from the calculation:
D(E_F)	0.969	states/eV per atom
magnetic moment	0.00	μB per formula unit
V	26.511	A^3/atom
mass density	8.71	Mg/m³

Cell lengths 3.753, 4.781, 11.818 Å; angles 90.00, 90.00, 90.00 degrees
Space group Pmm2 (No. 25)
Symmetry-distinct sites (fractional):
Ho (0.000, 0.000, 0.000) x1
Ho (0.000, 0.500, 0.295) x1
Ho (0.500, 0.000, 0.481) x1
Ho (0.500, 0.500, 0.804) x1
In (0.000, 0.000, 0.725) x1
In (0.000, 0.500, 0.565) x1
In (0.500, 0.500, 0.070) x1
Ag (0.500, 0.000, 0.222) x1

---

*ii*
Material: Ho4In3Ag
Method: DFT, PBE
State: relaxed

Values from the calculation:
D(E_F)	0.581	states/eV per atom
magnetic moment	0.00	μB per formula unit
V	25.598	A^3/atom
mass density	9.02	Mg/m³

Cell lengths 3.554, 3.554, 16.213 Å; angles 90.00, 90.00, 90.00 degrees
Space group P4/mmm (No. 123)
Symmetry-distinct sites (fractional):
Ho (0.000, 0.000, 0.114) x2
Ho (0.000, 0.000, 0.371) x2
In (0.500, 0.500, 0.241) x2
In (0.500, 0.500, 0.500) x1
Ag (0.500, 0.500, 0.000) x1

---

Need the numbers? Relative energies in meV per atom: *i* 47; *ii* 0.

---

*i*
Material: Ho4In2Ag
Method: DFT, PBE
State: relaxed

Values from the calculation:
D(E_F)	0.992	states/eV per atom
magnetic moment	0.00	μB per formula unit
V	28.104	A^3/atom
mass density	8.42	Mg/m³

Cell lengths 7.004, 6.636, 8.968 Å; angles 90.00, 109.28, 90.00 degrees
Space group P2_1/m (No. 11)
Symmetry-distinct sites (fractional):
Ho (0.086, 0.250, 0.047) x2
Ho (0.172, 0.008, 0.722) x4
Ho (0.320, 0.750, 0.350) x2
In (0.215, 0.250, 0.433) x2
In (0.433, 0.750, 0.033) x2
Ag (0.493, 0.250, 0.277) x2

---

*ii*
Material: Ho4In2Ag
Method: DFT, PBE
State: relaxed

Values from the calculation:
D(E_F)	0.864	states/eV per atom
magnetic moment	0.00	μB per formula unit
V	28.314	A^3/atom
mass density	8.35	Mg/m³

Cell lengths 5.2014, 5.2014, 25.3780 Å; angles 90.00, 90.00, 120.00 degrees
Space group R-3m (No. 166, hexagonal axes)
Symmetry-distinct sites (fractional):
Ho (0.0000, 0.0000, 0.1232) x6
Ho (0.0000, 0.0000, 0.3739) x6
In (0.0000, 0.0000, 0.2510) x6
Ag (0.0000, 0.0000, 0.5000) x3

---

Need the numbers? Relative energies in meV per atom: *i* 61; *ii* 0.

---

*i*
Material: Ho3InAg
Method: DFT, PBE
State: relaxed

Values from the calculation:
D(E_F)	1.090	states/eV per atom
magnetic moment	0.00	μB per formula unit
V	26.724	A^3/atom
mass density	8.92	Mg/m³

Cell lengths 5.094, 20.606, 5.092 Å; angles 90.00, 90.00, 90.00 degrees
Space group Cmcm (No. 63)
Symmetry-distinct sites (fractional):
Ho (0.000, 0.061, 0.250) x4
Ho (0.000, 0.250, 0.250) x4
Ho (0.000, 0.438, 0.250) x4
In (0.000, 0.156, 0.750) x4
Ag (0.000, 0.341, 0.750) x4

---

*ii*
Material: Ho3InAg
Method: DFT, PBE
State: relaxed

Values from the calculation:
D(E_F)	1.007	states/eV per atom
magnetic moment	0.00	μB per formula unit
V	27.261	A^3/atom
mass density	8.74	Mg/m³

Cell lengths 11.812, 6.376, 14.569 Å; angles 90.00, 96.36, 90.00 degrees
Space group C2/c (No. 15)
Symmetry-distinct sites (fractional):
Ho (0.064, 0.119, 0.107) x8
Ho (0.167, 0.181, 0.796) x8
Ho (0.191, 0.338, 0.401) x8
In (0.056, 0.371, 0.587) x8
Ag (0.000, 0.412, 0.250) x4
Ag (0.250, 0.250, 0.000) x4

---

Need the numbers? Relative energies in meV per atom: *i* 0; *ii* 130.

---

*i*
Material: LaHoInAg
Method: DFT, PBE
State: relaxed

Values from the calculation:
D(E_F)	0.941	states/eV per atom
magnetic moment	0.01	μB per formula unit
V	27.156	A^3/atom
mass density	8.05	Mg/m³

Cell lengths 3.691, 3.691, 7.972 Å; angles 90.00, 90.00, 90.00 degrees
Space group P4mm (No. 99)
Symmetry-distinct sites (fractional):
La (0.000, 0.000, 0.000) x1
Ho (0.000, 0.000, 0.524) x1
In (0.500, 0.500, 0.277) x1
Ag (0.500, 0.500, 0.724) x1

---

*ii*
Material: LaHoInAg
Method: DFT, PBE
State: relaxed

Values from the calculation:
D(E_F)	0.916	states/eV per atom
magnetic moment	0.00	μB per formula unit
V	27.649	A^3/atom
mass density	7.91	Mg/m³

Cell lengths 7.620, 7.620, 7.620 Å; angles 90.00, 90.00, 90.00 degrees
Space group F-43m (No. 216)
Symmetry-distinct sites (fractional):
La (0.000, 0.000, 0.000) x4
Ho (0.000, 0.000, 0.500) x4
In (0.250, 0.250, 0.750) x4
Ag (0.250, 0.250, 0.250) x4

---

Need the numbers? Relative energies in meV per atom: *i* 0; *ii* 29.